# 1
The following is a GGA+U calculation of ZnCr2P2O10 after structural relaxation, from Alexandria.

The space group is Fddd (No. 70, origin choice 2) and the conventional cell measures 7.137, 11.206 and 16.015 Å, with angles of 90.00, 90.00 and 90.00 degrees. The inequivalent atoms are Zn at (0.125, 0.125, 0.125), Cr at (0.000, 0.000, 0.500), P at (0.125, 0.125, 0.333), O at (0.047, 0.364, 0.526), O at (0.095, 0.013, 0.859) and O at (0.125, 0.125, 0.547).

For the density of states at the Fermi level, the calculation gives 0.134 states/eV/atom.


# 2
The following is a GGA+U calculation of Pa2CrO8 after structural relaxation, from Alexandria.

The space group is P-1 (No. 2) and the conventional cell measures 4.488, 5.251 and 6.853 Å, with angles of 80.50, 73.88 and 78.74 degrees. The inequivalent atoms are Pa at (0.164, 0.033, 0.221), Cr at (0.000, 0.500, 0.500), O at (0.059, 0.577, 0.740), O at (0.211, 0.148, 0.515), O at (0.307, 0.941, 0.909) and O at (0.333, 0.639, 0.341).


Computed values of energy (unit: eV/atom) for the preceding records, in sequence: -6.90, -8.43.
Computed values of calculated volume (unit: Å³/atom) for the preceding records, in sequence: 10.67, 13.74.